No. 1
# Rb3In4Bi2

Crystalline Rb3In4Bi2 at its relaxed geometry (PBE-GGA, Alexandria).

a = 5.051 Å, b = 7.702 Å, c = 12.731 Å
α = 55.00°, β = 78.56°, γ = 70.86°
Fractional coordinates of all 9 atoms:
1 In 0.716 0.607 0.961
2 Rb 0.676 0.312 0.336
3 Bi 0.623 0.043 0.712
4 In 0.284 0.393 0.039
5 In 0.978 0.680 0.365
6 Rb 0.000 0.000 0.000
7 Rb 0.324 0.688 0.664
8 Bi 0.377 0.957 0.288
9 In 0.022 0.320 0.635

Computed properties:
DOS(E_F) in states/eV/f.u.: 4.08
ΔH_f (0 K) in eV per atom: -0.1755
Offset from the most stable computed form in eV/atom: 0.000

***

No. 2
# Rb2In5Bi4

Crystalline Rb2In5Bi4 at its relaxed geometry (PBE-GGA, Alexandria).

a = 6.980 Å, b = 6.969 Å, c = 10.440 Å
α = 80.36°, β = 70.47°, γ = 59.95°
Fractional coordinates of all 11 atoms:
1 Bi 0.225 0.265 0.286
2 In 0.500 0.000 0.000
3 In 0.750 0.500 0.500
4 Rb 0.864 0.000 0.273
5 Bi 0.510 0.265 0.714
6 Rb 0.136 0.000 0.727
7 Bi 0.490 0.735 0.286
8 In 0.500 0.500 0.000
9 Bi 0.775 0.735 0.714
10 In 0.000 0.500 0.000
11 In 0.250 0.500 0.500

Computed properties:
DOS(E_F) in states/eV/f.u.: 5.18
ΔH_f (0 K) in eV per atom: -0.0779

***

Repeat the second record exactly.
# Rb2In5Bi4

Crystalline Rb2In5Bi4 at its relaxed geometry (PBE-GGA, Alexandria).

a = 6.980 Å, b = 6.969 Å, c = 10.440 Å
α = 80.36°, β = 70.47°, γ = 59.95°
Fractional coordinates of all 11 atoms:
1 Bi 0.225 0.265 0.286
2 In 0.500 0.000 0.000
3 In 0.750 0.500 0.500
4 Rb 0.864 0.000 0.273
5 Bi 0.510 0.265 0.714
6 Rb 0.136 0.000 0.727
7 Bi 0.490 0.735 0.286
8 In 0.500 0.500 0.000
9 Bi 0.775 0.735 0.714
10 In 0.000 0.500 0.000
11 In 0.250 0.500 0.500

Computed properties:
DOS(E_F) in states/eV/f.u.: 5.18
ΔH_f (0 K) in eV per atom: -0.0779